Computed, not measured: an optimized crystal structure of BaLa2MoO8 at the PBE+U level of DFT.

Raw total energy ... -87.92 eV/f.u.
Size of the total moment ... 0.00 μB per atom

Cell: 4.5046 5.4551 7.5678 Å, 90.00 107.30 90.00°
Space group P2/m (No. 10)
One atom of each set of equivalent atoms:
Ba 0.0000 0.0000 0.0000 x1
La 0.3697 0.5000 0.6848 x2
Mo 0.0000 0.0000 0.5000 x1
O 0.1782 0.2621 0.3870 x4
O 0.3286 0.5000 0.9940 x2
O 0.3443 0.0000 0.7291 x2